Computed, not measured: a relaxed structure of Nb2FeSb at the PBE level of DFT.

Properties
**ρ**: 8.22 Mg/m³
**Space-group type**: No. 122
**Total moment**: 0.00 μB per atom
**Formation energy from raw total energies**: 0.531 eV/atom

```
Nb2FeSb
1.0
3.8604 0.0000 0.0000
0.0000 3.8604 0.0000
0.0000 0.0000 19.7021
Nb Fe Sb
8 4 4
Cartesian
0.9602 0.9651 2.4628
0.9651 2.8904 7.3883
0.9651 2.9002 17.2393
0.9700 0.9651 12.3138
2.8904 2.8953 12.3138
2.8953 0.9602 17.2393
2.8953 0.9700 7.3883
2.9002 2.8953 2.4628
0.0000 0.0000 0.0000
0.0000 1.9302 4.9255
1.9302 0.0000 14.7766
1.9302 1.9302 9.8510
0.0000 0.0000 9.8510
0.0000 1.9302 14.7766
1.9302 0.0000 4.9255
1.9302 1.9302 0.0000
```